1.
Ca2BiAs2: optimized geometry, PBEsol.

Structure (POSCAR):
```
Ca2BiAs2
1.0
-0.2727 1.1773 5.0314
4.9523 -1.3787 0.5910
-0.8935 4.8528 -3.8447
As Ca Bi
2 2 1
direct
0.3819 0.3819 0.7638 As
0.6181 0.6181 0.2362 As
0.2500 0.7500 0.5000 Ca
0.7500 0.2500 0.5000 Ca
0.0000 0.0000 0.0000 Bi
```

Properties
Space-group type = No. 139
E = -21.3 eV/cell
Crystal system = tetragonal
Mass density = 5366 kg/m3
Relative energy among the computed polymorphs = 325 meV per atom
Energy of formation = -0.506 eV per atom

2.
TaCd3Bi: optimized geometry, PBEsol.

Structure (POSCAR):
```
TaCd3Bi
1.0
5.2652 0.0000 0.0000
0.0000 5.2652 0.0000
0.0000 0.0000 5.2652
Cd Bi Ta
3 1 1
direct
0.0000 0.5000 0.0000 Cd
0.0000 0.0000 0.5000 Cd
0.5000 0.0000 0.0000 Cd
0.5000 0.5000 0.5000 Bi
0.0000 0.0000 0.0000 Ta
```

Properties
Space-group type = No. 221
E = -14.9 eV/cell
Crystal system = cubic
Mass density = 8272 kg/m3
Energy of formation = 1.113 eV per atom

3.
Tl2CrW: optimized geometry, PBEsol.

Structure (POSCAR):
```
Tl2CrW
1.0
2.9690 0.0000 0.0000
0.0000 4.7054 -0.0441
-1.4845 -2.2675 5.5866
Cr Tl W
1 2 1
direct
0.7800 0.2820 0.5600 Cr
0.0321 0.0297 0.0642 Tl
0.2472 0.7491 0.4945 Tl
0.4407 0.4392 0.8813 W
```

Properties
Space-group type = No. 8
E = -26.0 eV/cell
Crystal system = monoclinic
Mass density = 13767 kg/m3
Relative energy among the computed polymorphs = 0 meV per atom
Energy of formation = 0.833 eV per atom

4.
RbMgPH12O10: optimized geometry, PBEsol.

Structure (POSCAR):
```
RbMgPH12O10
1.0
6.0820 0.0000 0.0000
0.0000 6.8261 0.0000
0.0000 0.0000 11.2202
H Mg O P Rb
24 2 20 2 2
direct
0.2699 0.0000 0.7849 H
0.7301 0.5000 0.2849 H
0.1681 0.0000 0.6506 H
0.8319 0.5000 0.1506 H
0.0104 0.8795 0.5020 H
0.9896 0.6205 0.0020 H
0.9896 0.3795 0.0020 H
0.0104 0.1205 0.5020 H
0.7978 0.7960 0.8123 H
0.2022 0.7040 0.3123 H
0.2022 0.2960 0.3123 H
0.7978 0.2040 0.8123 H
0.8295 0.6747 0.6887 H
0.1705 0.8253 0.1887 H
0.1705 0.1747 0.1887 H
0.8295 0.3253 0.6887 H
0.6201 0.6744 0.4736 H
0.3799 0.8256 0.9736 H
0.3799 0.1744 0.9736 H
0.6201 0.3256 0.4736 H
0.3684 0.7475 0.4867 H
0.6316 0.7525 0.9867 H
0.6316 0.2475 0.9867 H
0.3684 0.2525 0.4867 H
0.6240 0.0000 0.6210 Mg
0.3760 0.5000 0.1210 Mg
0.0316 0.0000 0.1259 O
0.9684 0.5000 0.6259 O
0.2338 0.0000 0.9276 O
0.7662 0.5000 0.4276 O
0.8789 0.8130 0.9487 O
0.1211 0.6870 0.4487 O
0.1211 0.3130 0.4487 O
0.8789 0.1870 0.9487 O
0.3082 0.0000 0.6971 O
0.6918 0.5000 0.1971 O
0.9501 0.0000 0.5444 O
0.0499 0.5000 0.0444 O
0.7326 0.7742 0.7305 O
0.2674 0.7258 0.2305 O
0.2674 0.2742 0.2305 O
0.7326 0.2258 0.7305 O
0.5256 0.7893 0.4998 O
0.4744 0.7107 0.9998 O
0.4744 0.2893 0.9998 O
0.5256 0.2107 0.4998 O
0.0038 0.0000 0.9892 P
0.9962 0.5000 0.4892 P
0.6336 0.0000 0.2689 Rb
0.3664 0.5000 0.7689 Rb
```

Properties
Space-group type = No. 31
E = -276.0 eV/cell
Crystal system = orthorhombic
Mass density = 2230 kg/m3

5.
SrCo2Sb: optimized geometry, PBEsol.

Structure (POSCAR):
```
SrCo2Sb
1.0
4.2506 0.0000 0.0000
0.0000 4.6857 0.0203
0.0000 -0.0209 4.7437
Sb Co Sr
1 2 1
direct
0.5000 0.0000 0.0000 Sb
0.0000 0.2706 0.9999 Co
0.0000 0.7294 0.0001 Co
0.5000 0.5000 0.5000 Sr
```

Properties
Uncorrected formation energy = 0.190 eV per atom
Space-group type = No. 47
E = -21.1 eV/cell
Crystal system = orthorhombic
Mass density = 5751 kg/m3

6.
TlCo3Ge: optimized geometry, PBEsol.

Structure (POSCAR):
```
TlCo3Ge
1.0
-0.0795 -3.8385 1.8970
3.8490 0.7672 1.7135
-1.8757 1.7368 3.4357
Tl Co Ge
1 3 1
direct
0.5000 0.5000 0.5000 Tl
0.0000 0.5000 0.0000 Co
0.0000 0.0000 0.5000 Co
0.5000 0.0000 0.0000 Co
0.0000 0.0000 0.0000 Ge
```

Properties
Space-group type = No. 221
E = -27.0 eV/cell
Crystal system = cubic
Mass density = 9595 kg/m3
Energy of formation = 0.751 eV per atom